Below is a relaxed Tc5Te crystal, with properties calculated at the PBE level. Values from VASP.

For the spin magnetization, the calculation gives 0.000 μB per atom. For the energy above the most stable polymorph in this dataset, the calculation gives 0.000 eV per atom. The formation energy without anion corrections is 0.2107 eV per atom. For the density of states at the Fermi level, the calculation gives 1.040 states/eV/atom.

Cell and atoms, written as Quantum ESPRESSO input:
```
&SYSTEM
  ibrav = 0, nat = 6, ntyp = 2
/
ATOMIC_SPECIES
Tc 98.00 Tc.upf
Te 127.60 Te.upf
ATOMIC_POSITIONS crystal
Tc 0.650 0.650 0.653
Tc 0.601 0.601 0.293
Tc 0.941 0.941 0.602
Tc 0.328 0.328 0.335
Tc 0.020 0.020 0.012
Te 0.293 0.293 0.939
CELL_PARAMETERS angstrom
-3.940 -0.961 -3.437
-1.624 -0.161 -5.059
0.800 -6.195 -1.911
```